Entry 1:
4
Lattice="4.9142 0.0000 0.0000 2.4571 4.2558 0.0000 2.4571 1.4186 4.0124" Properties=species:S:1:pos:R:3 comment="PuScAl2, optimized geometry, DFT PBE" volume_a3_per_cell=84 mass_density_g_cm3=6.786 de_polymorph_mev_per_atom=34 ef_mev_per_atom=-273 crystal_system=cubic pbc="T T T"
Pu 0.0000 0.0000 0.0000
Al 7.3713 4.2558 3.0093
Al 2.4571 1.4186 1.0031
Sc 4.9142 2.8372 2.0062

Entry 2:
4
Lattice="4.8475 0.0000 0.0000 0.0000 4.3197 0.0000 0.0000 0.0000 4.3197" Properties=species:S:1:pos:R:3 comment="Pu2ScAl, optimized geometry, DFT PBE" volume_a3_per_cell=90 mass_density_g_cm3=10.279 de_polymorph_mev_per_atom=0 ef_mev_per_atom=-110 crystal_system=tetragonal pbc="T T T"
Al 2.4237 0.0000 0.0000
Pu 0.0000 2.1599 0.0000
Sc 2.4237 2.1599 2.1599
Pu 0.0000 0.0000 2.1599

Entry 3:
16
Lattice="-3.7021 1.0986 2.2137 -1.7153 -4.0124 -0.8773 7.1900 -6.3968 15.1986" Properties=species:S:1:pos:R:3 comment="PuSc12Al3, optimized geometry, DFT PBE" volume_a3_per_cell=356 mass_density_g_cm3=4.027 ef_mev_per_atom=-148 crystal_system=tetragonal pbc="T T T"
Sc 2.6372 -6.2131 11.9686
Al 3.5950 -3.1984 7.5993
Sc -0.9072 -0.2904 3.1020
Al 1.8392 -1.6363 3.8878
Sc 5.3885 -7.5633 12.7648
Sc -0.8646 -3.0976 4.5664
Sc -2.7087 -1.4569 0.6682
Sc 1.8562 -4.4206 5.2980
Sc 0.8628 -1.8652 6.8435
Sc 4.3951 -5.0078 14.3103
Sc 2.6251 -3.4331 10.5689
Pu 0.0000 0.0000 0.0000
Al 5.3508 -4.7605 11.3109
Sc 0.8863 -4.6553 8.2675
Sc 0.0862 -2.8459 1.5565
Sc 3.6186 -5.9886 9.0234

Entry 4:
4
Lattice="-2.6049 -0.0259 -1.8644 -2.7309 -1.2791 1.0811 -4.6810 9.0773 3.6616" Properties=species:S:1:pos:R:3 comment="Pu2ScAl, optimized geometry, DFT PBE" volume_a3_per_cell=95 mass_density_g_cm3=9.786 de_polymorph_mev_per_atom=232 ef_mev_per_atom=122 crystal_system=trigonal pbc="T T T"
Pu -7.5480 5.9453 2.2066
Sc -5.0084 3.8861 1.4391
Pu -2.4688 1.8269 0.6717
Al 0.0000 0.0000 0.0000

Entry 5:
11
Lattice="4.5851 0.0000 -1.3180 -0.8027 6.9404 -2.7923 -0.1998 -0.0572 7.9391" Properties=species:S:1:pos:R:3 comment="PuSc8Al2, optimized geometry, DFT PBE" volume_a3_per_cell=250 mass_density_g_cm3=4.368 ef_mev_per_atom=-130 crystal_system=monoclinic pbc="T T T"
Sc 2.3546 3.2305 -0.4431
Sc 0.4593 1.5049 1.5978
Al 3.1656 2.4057 2.3781
Sc 2.3142 6.4976 -0.5837
Sc -0.3761 5.1129 -1.3084
Al 0.4170 4.4775 1.4507
Pu 2.2926 0.0000 -0.6590
Sc 3.9587 1.7703 5.1372
Sc 1.2684 0.3856 4.4125
Sc 1.2280 3.6527 4.2719
Sc 3.1233 5.3783 2.2310

Entry 6:
11
Lattice="7.2635 1.1505 1.5001 -0.0397 5.8903 0.7295 -0.0397 -0.8229 5.8780" Properties=species:S:1:pos:R:3 comment="Pu2Sc7Al2, optimized geometry, DFT PBE" volume_a3_per_cell=256 mass_density_g_cm3=5.546 ef_mev_per_atom=33 crystal_system=monoclinic pbc="T T T"
Sc 1.2686 3.1414 1.2425
Sc 5.9155 5.8324 4.7514
Sc 3.3986 4.0306 5.2555
Sc 1.2686 0.3854 3.3561
Al 0.9879 3.2027 4.1760
Sc 3.7855 2.1873 2.8520
Sc 0.0000 0.0000 0.0000
Pu 3.5921 5.3236 2.3553
Pu 3.5921 0.8943 5.7522
Al 6.1962 3.0152 3.9315
Sc 5.9155 3.0765 6.8650

Entry 7:
4
Lattice="-1.8508 2.4091 -0.1785 -0.5749 -0.6577 -2.9151 -6.7826 -5.0276 2.4719" Properties=species:S:1:pos:R:3 comment="PuScAl2, optimized geometry, DFT PBE" volume_a3_per_cell=81 mass_density_g_cm3=6.989 de_polymorph_mev_per_atom=0 ef_mev_per_atom=-307 crystal_system=tetragonal pbc="T T T"
Al -1.6094 -1.1930 0.5865
Al -5.1733 -3.8346 1.8854
Pu -4.6042 -1.6381 -0.3108
Sc -1.2129 0.8757 -1.5468

Entry 8:
12
Lattice="-1.7005 -3.5621 -2.7921 6.2203 -0.9896 -2.5259 -0.8786 -2.5240 7.9412" Properties=species:S:1:pos:R:3 comment="PuSc5Al6, optimized geometry, DFT PBE" volume_a3_per_cell=239 mass_density_g_cm3=4.391 ef_mev_per_atom=-390 crystal_system=orthorhombic pbc="T T T"
Sc 4.0487 -3.7561 2.3262
Sc 2.7274 -3.9001 -0.8715
Al 1.5470 -5.1667 1.4634
Sc 3.1102 -0.4948 -1.2629
Sc 0.9139 -3.1756 3.4947
Al 5.0766 -2.3833 -0.0511
Al 0.8372 -2.0495 -2.0813
Al 3.6826 -2.5022 -3.2367
Pu 0.0000 0.0000 0.0000
Al 2.0942 -1.9089 1.1598
Al -1.4353 -4.6923 2.6743
Sc -0.4075 -3.3195 0.2970

no.,total magnetic moment (Bohr magnetons per cell)
1,5.27
2,11.23
3,7.00
4,11.28
5,6.40
6,12.32
7,5.64
8,5.57